Entry 1:
Density functional theory data (PBE-GGA) for crystalline Ac2GeTe5 at its relaxed geometry.

Results
The value obtained for the density of states at the Fermi level is 0.145 states/eV/atom. As for the formation energy (no corrections): -917 meV/atom.

abc: 6.3842 6.4774 8.2067
angles: 101.27 109.43 101.19
Closest atoms and distances in Å follow each position.
Space group P1 (No. 1)
Unique sites:
Ac 0.0000 0.0000 0.0000 (multiplicity 1)  7 Te 3.36-3.47
Ac 0.0344 0.5267 0.4935 (multiplicity 1)  7 Te 3.32-3.66, 1 Ge 3.53
Ge 0.4283 0.2331 0.6649 (multiplicity 1)  3 Te 2.80-2.83
Te 0.3907 0.9218 0.3600 (multiplicity 1)  1 Ge 2.80, 1 Te 3.11
Te 0.4189 0.9143 0.8560 (multiplicity 1)  1 Ge 2.83
Te 0.4263 0.4194 0.3273 (multiplicity 1)  1 Ge 3.23, 2 Te 3.26-3.27, 3 Ac 3.34-3.53
Te 0.8898 0.9651 0.3705 (multiplicity 1)  2 Te 3.11-3.29, 1 Ge 3.34, 3 Ac 3.38-3.43
Te 0.9036 0.4380 0.8456 (multiplicity 1)  1 Ge 2.80


Entry 2:
Density functional theory data (PBE-GGA) for crystalline PmSi3Pd at its relaxed geometry.

Results
The value obtained for the density of states at the Fermi level is 0.429 states/eV/atom. The energy above the most stable polymorph in this dataset is 0 meV per atom. As for the formation energy (no corrections): -650 meV/atom.

abc: 4.3304 4.3304 9.5743
angles: 90.00 90.00 90.00
Closest atoms and distances in Å follow each position.
Space group I4mm (No. 107)
Unique sites:
Pm 0.0000 0.0000 0.0000 (multiplicity 2)  12 Si 3.15-3.31, 5 Pd 3.36-3.41
Si 0.0000 0.0000 0.3926 (multiplicity 2)  1 Pd 2.41, 4 Si 2.50
Si 0.0000 0.5000 0.2616 (multiplicity 4)  2 Pd 2.44, 2 Si 2.50
Pd 0.0000 0.0000 0.6438 (multiplicity 2)  5 Si 2.41-2.44


Entry 3:
Density functional theory data (PBE-GGA) for crystalline TmMn6 at its relaxed geometry.

Results
The value obtained for the density of states at the Fermi level is 1.150 states/eV/atom. The energy above the most stable polymorph in this dataset is 0 meV per atom. The formation enthalpy at 0 K comes out at 0.0308 eV per atom.

abc: 7.9236 4.7700 9.9455
angles: 90.00 90.00 90.00
Closest atoms and distances in Å follow each position.
Space group Pnma (No. 62)
Unique sites:
Tm 0.2463 0.2500 0.0663 (multiplicity 4)  13 Mn 2.76-3.09
Mn 0.0549 0.7500 0.0905 (multiplicity 4)  5 Mn 2.41-2.60
Mn 0.0703 0.0152 0.3093 (multiplicity 8)  4 Mn 2.24-2.44
Mn 0.0849 0.2500 0.5266 (multiplicity 4)  5 Mn 2.40-2.45
Mn 0.1387 0.7500 0.8581 (multiplicity 4)  7 Mn 2.41-2.62
Mn 0.1925 0.2500 0.7573 (multiplicity 4)  7 Mn 2.32-2.60


Entry 4:
Density functional theory data (PBE-GGA) for crystalline K3Np3SeS8 at its relaxed geometry.

Results
The value obtained for the density of states at the Fermi level is 1.957 states/eV/atom. As for the formation energy (no corrections): -1061 meV/atom.

abc: 13.6440 8.3724 8.5407
angles: 90.00 121.19 90.00
Closest atoms and distances in Å follow each position.
Space group C2/m (No. 12)
Unique sites:
K 0.0000 0.0000 0.0000 (multiplicity 2)  6 S 3.16-3.35
K 0.2500 0.2500 0.0000 (multiplicity 4)  6 S 3.22-3.30
Np 0.0000 0.5000 0.5000 (multiplicity 2)  6 S 2.68-2.75
Np 0.2500 0.2500 0.5000 (multiplicity 4)  6 S 2.63-2.79
Se 0.0000 0.0000 0.5000 (multiplicity 2)  2 S 2.54
S 0.0278 0.2942 0.2853 (multiplicity 8)  2 Np 2.63-2.68
S 0.2180 0.0000 0.6783 (multiplicity 4)  1 Se 2.54, 2 Np 2.75
S 0.2352 0.5000 0.7021 (multiplicity 4)  3 Np 2.75-2.79


Entry 5:
Density functional theory data (PBE-GGA) for crystalline ZrCd4Cu2 at its relaxed geometry.

Results
The value obtained for the density of states at the Fermi level is 0.478 states/eV/atom. The formation enthalpy at 0 K comes out at 0.0087 eV per atom.

abc: 4.6171 18.2153 3.1817
angles: 90.00 90.00 90.00
Closest atoms and distances in Å follow each position.
Space group Cmmm (No. 65)
Unique sites:
Zr 0.0000 0.0000 0.0000 (multiplicity 2)  8 Cu 3.05, 4 Cd 3.10, 2 Zr 3.18
Cd 0.0000 0.1462 0.5000 (multiplicity 4)  2 Cu 2.74, 4 Cd 2.95
Cd 0.0000 0.3032 0.0000 (multiplicity 4)  2 Cu 2.87, 8 Cd 2.95-3.18
Cu 0.0000 0.4344 0.5000 (multiplicity 4)  1 Cu 2.39


Entry 6:
Density functional theory data (PBE-GGA) for crystalline AcSm2IO8 at its relaxed geometry.

Results
As for the formation energy (no corrections): -2257 meV/atom.

abc: 5.1733 7.2185 5.1767
angles: 90.00 90.87 90.00
Closest atoms and distances in Å follow each position.
Space group P2/m (No. 10)
Unique sites:
Ac 0.0000 0.0000 0.0000 (multiplicity 1)  6 O 2.37-2.58
Sm 0.5000 0.2527 0.5000 (multiplicity 2)  6 O 2.25-2.52
I 0.0000 0.5000 0.0000 (multiplicity 1)  6 O 1.91-1.92
O 0.1811 0.3071 0.1826 (multiplicity 4)  1 I 1.92
O 0.2595 0.5000 0.7424 (multiplicity 2)  1 I 1.91
O 0.3223 0.0000 0.6803 (multiplicity 2)  2 Sm 2.25, 1 Ac 2.37


Entry 7:
Density functional theory data (PBE-GGA) for crystalline Tc2NiPbS at its relaxed geometry.

Results
The value obtained for the density of states at the Fermi level is 1.036 states/eV/atom. As for the formation energy (no corrections): 412 meV/atom.

abc: 4.4986 4.4986 4.1494
angles: 90.00 90.00 90.00
Closest atoms and distances in Å follow each position.
Space group P4/mmm (No. 123)
Unique sites:
Tc 0.0000 0.5000 0.0000 (multiplicity 2)  2 S 2.25
Ni 0.0000 0.0000 0.5000 (multiplicity 1)  2 S 2.07
Pb 0.5000 0.5000 0.5000 (multiplicity 1)  8 Tc 3.06, 4 Ni 3.18
S 0.0000 0.0000 0.0000 (multiplicity 1)  2 Ni 2.07, 4 Tc 2.25


Entry 8:
Density functional theory data (PBE-GGA) for crystalline Ac4DyMg2 at its relaxed geometry.

Results
The value obtained for the density of states at the Fermi level is 1.347 states/eV/atom. The formation enthalpy at 0 K comes out at 0.1339 eV per atom.

abc: 8.0527 8.0527 8.6307
angles: 90.00 90.00 90.00
Closest atoms and distances in Å follow each position.
Space group I4/mmm (No. 139)
Unique sites:
Ac 0.2500 0.2500 0.2500 (multiplicity 8)  2 Dy 3.57, 4 Mg 3.57
Dy 0.0000 0.0000 0.0000 (multiplicity 2)  8 Ac 3.57
Mg 0.0000 0.5000 0.0000 (multiplicity 4)  8 Ac 3.57


no.,size of the total moment (μB per atom),uncorrected energy (eV/atom)
1,0.000,-4.49
2,0.000,-5.89
3,0.393,-8.47
4,0.550,-6.30
5,0.000,-2.91
6,0.000,-6.82
7,0.000,-6.46
8,0.000,-3.33